The following is a DFT calculation (PBE) of a relaxed structure of Li2ThTcO8.

Results
As for the density of states at the Fermi level: 0.5632 states/eV per atom. The value obtained for the calculated total energy is -6.5010 eV/atom. As for the formation energy from raw total energies: -1.39 eV/atom. Its crystal system is trigonal. Its total magnetization is 3.0 μB/cell.

Unit cell a=5.7277 b=5.7277 c=6.1490 alpha=90.00 beta=90.00 gamma=120.00
Space group P-3m1 (No. 164)
Unique sites:
Li (0.3333, 0.6667, 0.1951)
Th (0.0000, 0.0000, 0.5000)
Tc (0.0000, 0.0000, 0.0000)
O (0.1475, 0.2949, 0.1954)
O (0.3333, 0.6667, 0.5586)